[1]
PBE Pr8AsPt3Br4, relaxed; raw total energy = -5.4796 eV per atom; M_tot = 0.000 μB per atom; raw formation energy = -20.0 eV per formula unit
1.0
4.2980 2.4815 7.5968
-4.2980 2.4815 7.5968
0.0000 -4.9629 7.5968
Pr As Pt Br
8 1 3 4
Direct
0.2276 0.7396 0.7396
0.2323 0.2323 0.2323
0.2604 0.2604 0.7724
0.2604 0.7724 0.2604
0.7396 0.2276 0.7396
0.7396 0.7396 0.2276
0.7677 0.7677 0.7677
0.7724 0.2604 0.2604
0.5000 0.5000 0.5000
0.0000 0.0000 0.5000
0.0000 0.5000 0.0000
0.5000 0.0000 0.0000
0.0000 0.0000 0.0000
0.0000 0.5000 0.5000
0.5000 0.0000 0.5000
0.5000 0.5000 0.0000

---

[2]
PBE Pr6AsRh2Br3, relaxed; raw total energy = -5.5630 eV per atom; M_tot = 0.000 μB per atom; raw formation energy = -13.7 eV per formula unit
1.0
3.6766 -6.3645 0.0000
3.6766 6.3645 0.0000
-2.4317 0.0000 7.7016
Pr As Rh Br
6 1 2 3
Direct
0.0846 0.4327 0.7989
0.2184 0.2184 0.2008
0.4327 0.0846 0.7989
0.5673 0.9154 0.2011
0.7816 0.7816 0.7992
0.9154 0.5673 0.2011
0.5000 0.5000 0.0000
0.1671 0.8329 0.0000
0.8329 0.1671 0.0000
0.0000 0.0000 0.5000
0.3376 0.6624 0.5000
0.6624 0.3376 0.5000

---

[3]
PBE Pr4AsRuBr2, relaxed; raw total energy = -5.6366 eV per atom; M_tot = 0.000 μB per atom; raw formation energy = -8.7 eV per formula unit
1.0
7.6192 0.0000 0.0000
0.0000 4.1645 0.0000
-2.1836 0.0000 7.5820
Pr As Ru Br
4 1 1 2
Direct
0.2202 0.0000 0.2012
0.2467 0.5000 0.8020
0.7533 0.5000 0.1980
0.7798 0.0000 0.7988
0.5000 0.0000 0.0000
0.0000 0.5000 0.0000
0.0000 0.0000 0.5000
0.5000 0.5000 0.5000

---

[4]
PBE Pr4AsS2Br, relaxed; raw total energy = -5.9260 eV per atom; M_tot = 0.000 μB per atom; raw formation energy = -13.7 eV per formula unit
1.0
7.3202 0.0000 0.0000
0.0000 4.2076 0.0000
-2.4335 0.0000 6.9169
Pr As S Br
4 1 2 1
Direct
0.2172 0.0000 0.2200
0.2315 0.5000 0.7645
0.7685 0.5000 0.2355
0.7828 0.0000 0.7800
0.5000 0.0000 0.0000
0.0000 0.0000 0.5000
0.0000 0.5000 0.0000
0.5000 0.5000 0.5000

---

[5]
PBE Pr6As2S3Br, relaxed; raw total energy = -6.0734 eV per atom; M_tot = 0.000 μB per atom; raw formation energy = -20.9 eV per formula unit
1.0
9.1875 -2.1030 0.0000
9.1875 2.1030 0.0000
-1.9347 0.0000 8.2313
Pr As S Br
6 2 3 1
Direct
0.0007 0.0007 0.2205
0.3216 0.3216 0.4133
0.3333 0.3333 0.9146
0.6667 0.6667 0.0854
0.6784 0.6784 0.5867
0.9993 0.9993 0.7795
0.1647 0.1647 0.8291
0.8353 0.8353 0.1709
0.1629 0.1629 0.3335
0.5000 0.5000 0.0000
0.8371 0.8371 0.6665
0.5000 0.5000 0.5000

---

[6]
PBE Pr4AsSBr2, relaxed; raw total energy = -5.4247 eV per atom; M_tot = 0.000 μB per atom; raw formation energy = -12.2 eV per formula unit
1.0
7.2725 0.0000 0.0000
0.0000 4.2695 0.0000
-2.5082 0.0000 7.3097
Pr As S Br
4 1 1 2
Direct
0.2208 0.0000 0.2007
0.2512 0.5000 0.7947
0.7488 0.5000 0.2053
0.7792 0.0000 0.7993
0.5000 0.0000 0.0000
0.0000 0.5000 0.0000
0.0000 0.0000 0.5000
0.5000 0.5000 0.5000

---

[7]
PBE Pr4AsSe2Br, relaxed; raw total energy = -5.6719 eV per atom; M_tot = 0.000 μB per atom; raw formation energy = -13.0 eV per formula unit
1.0
7.4069 0.0000 0.0000
0.0000 4.3085 0.0000
-2.5071 0.0000 7.0796
Pr As Se Br
4 1 2 1
Direct
0.2301 0.0000 0.2213
0.2468 0.5000 0.7705
0.7532 0.5000 0.2295
0.7699 0.0000 0.7787
0.5000 0.0000 0.0000
0.0000 0.0000 0.5000
0.0000 0.5000 0.0000
0.5000 0.5000 0.5000

---

[8]
PBE Pr4AsSeBr2, relaxed; raw total energy = -5.2825 eV per atom; M_tot = 0.000 μB per atom; raw formation energy = -11.7 eV per formula unit
1.0
7.4803 0.0000 0.0000
0.0000 4.3488 0.0000
-2.5176 0.0000 7.1443
Pr As Se Br
4 1 1 2
Direct
0.2351 0.0000 0.2105
0.2618 0.5000 0.7904
0.7382 0.5000 0.2096
0.7649 0.0000 0.7895
0.0000 0.5000 0.0000
0.5000 0.0000 0.0000
0.0000 0.0000 0.5000
0.5000 0.5000 0.5000